(1)
Compound: YMgBr2
Source: Alexandria via LeMat-Bulk
Functional: PBEsol
Structure: relaxed

The value obtained for the offset from the most stable computed form is 0 meV per atom. The total energy is -15.608 eV/f.u. The density of states at the Fermi level is 2.0 states/eV per cell. For the volume, the calculation gives 26.61 Å³ per atom. As for the total moment: 0.0 μB per formula unit. For the uncorrected formation energy, the calculation gives -0.8322 eV/atom.

The structure belongs to space group P2/m (No. 10); the cell edges are 3.6378, 4.7419 and 6.1701 Å and the angles 90.00°, 90.70° and 90.00°. The inequivalent atoms are Y at (0.0000, 0.0000, 0.0000), Mg at (0.5000, 0.0000, 0.5000) and Br at (0.2204, 0.5000, 0.2409).

=====

(2)
Compound: Y2MgBr
Source: Alexandria via LeMat-Bulk
Functional: PBEsol
Structure: relaxed

The value obtained for the offset from the most stable computed form is 0 meV per atom. The total energy is -19.020 eV/f.u. The density of states at the Fermi level is 4.4 states/eV per cell. For the volume, the calculation gives 25.02 Å³ per atom. As for the total moment: 0.0 μB per formula unit. For the uncorrected formation energy, the calculation gives -0.4472 eV/atom.

The structure belongs to space group P4/mmm (No. 123); the cell edges are 3.4132, 3.4132 and 8.5900 Å and the angles 90.00°, 90.00° and 90.00°. The inequivalent atoms are Y at (0.0000, 0.0000, 0.2366), Mg at (0.5000, 0.5000, 0.5000) and Br at (0.5000, 0.5000, 0.0000).

=====

(3)
Compound: MgZn2Br
Source: Alexandria via LeMat-Bulk
Functional: PBEsol
Structure: relaxed

The value obtained for the offset from the most stable computed form is 14 meV per atom. The total energy is -6.909 eV/f.u. The density of states at the Fermi level is 1.7 states/eV per cell. For the volume, the calculation gives 20.65 Å³ per atom. As for the total moment: 0.0 μB per formula unit. For the uncorrected formation energy, the calculation gives -0.0394 eV/atom.

The structure belongs to space group Pmmm (No. 47); the cell edges are 3.2924, 4.4073 and 5.6913 Å and the angles 90.00°, 90.00° and 90.00°. The inequivalent atoms are Mg at (0.0000, 0.0000, 0.0000), Zn at (0.0000, 0.5000, 0.5000), Zn at (0.5000, 0.0000, 0.5000) and Br at (0.5000, 0.5000, 0.0000).

=====

(4)
Compound: MgZnBr3
Source: Alexandria via LeMat-Bulk
Functional: PBEsol
Structure: relaxed

The total energy is -11.529 eV/f.u. The density of states at the Fermi level is 1.8 states/eV per cell. For the volume, the calculation gives 26.01 Å³ per atom. As for the total moment: 0.0 μB per formula unit. For the uncorrected formation energy, the calculation gives -0.5240 eV/atom.

The structure belongs to space group Pm-3m (No. 221); the cell edges are 5.0666, 5.0666 and 5.0666 Å and the angles 90.00°, 90.00° and 90.00°. The inequivalent atoms are Mg at (0.0000, 0.0000, 0.0000), Zn at (0.5000, 0.5000, 0.5000) and Br at (0.0000, 0.5000, 0.5000).

=====

(5)
Compound: MgZn2Br
Source: Alexandria via LeMat-Bulk
Functional: PBEsol
Structure: relaxed

The value obtained for the offset from the most stable computed form is 102 meV per atom. The total energy is -6.555 eV/f.u. The density of states at the Fermi level is 2.5 states/eV per cell. For the volume, the calculation gives 20.09 Å³ per atom. As for the total moment: 0.0 μB per formula unit. For the uncorrected formation energy, the calculation gives 0.0489 eV/atom.

The structure belongs to space group I-4m2 (No. 119); the cell edges are 4.1927, 4.1927 and 9.1412 Å and the angles 90.00°, 90.00° and 90.00°. The inequivalent atoms are Mg at (0.0000, 0.0000, 0.0000), Zn at (0.0000, 0.0000, 0.5000), Zn at (0.0000, 0.5000, 0.2500) and Br at (0.0000, 0.5000, 0.7500).

=====

(6)
Compound: MgZn2Br
Source: Alexandria via LeMat-Bulk
Functional: PBEsol
Structure: relaxed

The value obtained for the offset from the most stable computed form is 0 meV per atom. The total energy is -6.963 eV/f.u. The density of states at the Fermi level is 2.7 states/eV per cell. For the volume, the calculation gives 20.96 Å³ per atom. As for the total moment: 0.0 μB per formula unit. For the uncorrected formation energy, the calculation gives -0.0531 eV/atom.

The structure belongs to space group Imm2 (No. 44); the cell edges are 3.3015, 5.6138 and 9.0490 Å and the angles 90.00°, 90.00° and 90.00°. The inequivalent atoms are Mg at (0.0000, 0.0000, 0.0000), Zn at (0.0000, 0.0000, 0.5301), Zn at (0.0000, 0.5000, 0.2505) and Br at (0.0000, 0.5000, 0.7330).